Density functional theory data (PBE) for an optimized crystal structure of CaAl2PbC.

Unit cell a=5.694 b=5.694 c=5.917 alpha=90.00 beta=90.00 gamma=90.00
Space group P4/mmm (No. 123)
Symmetry-distinct sites (fractional):
Ca1 0.000 0.000 0.000 x1
Al1 0.000 0.500 0.000 x2
Pb1 0.000 0.000 0.500 x1
C1 0.500 0.500 0.500 x1

## Properties
DFT formation energy = 2.269 eV/atom
Fermi-level density of states = 0.933 states/eV/atom
energy = -11.07 eV per cell



Density functional theory data (PBE) for an optimized crystal structure of Na4RuF10.

Unit cell a=8.550 b=8.550 c=5.299 alpha=90.00 beta=90.00 gamma=90.00
Space group I4/m (No. 87)
Symmetry-distinct sites (fractional):
Na1 0.094 0.306 0.000 x8
Ru1 0.000 0.000 0.500 x2
F1 0.000 0.500 0.250 x4
F2 0.097 0.834 0.281 x16

## Properties
Fermi-level density of states = 0.365 states/eV/atom
energy = -129.94 eV per cell
E_form (uncorrected) = -2114 meV per atom



Density functional theory data (PBE) for an optimized crystal structure of Pu2HfS6.

Unit cell a=7.2211 b=7.2211 c=3.8141 alpha=90.00 beta=90.00 gamma=120.00
Space group P-62m (No. 189)
Symmetry-distinct sites (fractional):
Pu1 0.3333 0.6667 0.0000 x2
Hf1 0.0000 0.0000 0.5000 x1
S1 0.0000 0.2470 0.0000 x3
S2 0.0000 0.5948 0.5000 x3

## Properties
Fermi-level density of states = 1.879 states/eV/atom
energy = -75.64 eV per cell
E_form (uncorrected) = -1363 meV per atom



Density functional theory data (PBE) for an optimized crystal structure of TlCuAg2S2.

Unit cell a=6.879 b=9.055 c=4.549 alpha=90.00 beta=90.00 gamma=90.00
Space group Pnnm (No. 58)
Symmetry-distinct sites (fractional):
Tl1 0.000 0.000 0.000 x2
Cu1 0.000 0.500 0.000 x2
Ag1 0.051 0.323 0.500 x4
S1 0.212 0.324 0.000 x4

## Properties
energy = -42.68 eV per cell
E_form (uncorrected) = -154 meV per atom



Density functional theory data (PBE) for an optimized crystal structure of Pm2PrSm3.

Unit cell a=3.515 b=6.062 c=19.701 alpha=90.00 beta=90.00 gamma=90.00
Space group Immm (No. 71)
Symmetry-distinct sites (fractional):
Pm1 0.000 0.000 0.140 x4
Pr1 0.000 0.000 0.500 x2
Sm1 0.000 0.000 0.310 x4
Sm2 0.000 0.500 0.500 x2

## Properties
DFT formation energy = 0.321 eV/atom
Fermi-level density of states = 1.806 states/eV/atom
energy = -53.03 eV per cell
ΔE to the lowest computed polymorph = 0.000 eV/atom



Density functional theory data (PBE) for an optimized crystal structure of TcGeAs3.

Unit cell a=4.852 b=4.852 c=4.852 alpha=90.00 beta=90.00 gamma=90.00
Space group Pm-3m (No. 221)
Symmetry-distinct sites (fractional):
Tc1 0.000 0.000 0.000 x1
Ge1 0.500 0.500 0.500 x1
As1 0.000 0.500 0.500 x3

## Properties
DFT formation energy = 1.287 eV/atom
Fermi-level density of states = 0.652 states/eV/atom
energy = -22.50 eV per cell
ΔE to the lowest computed polymorph = 0.706 eV/atom